[1]
DFT (GGA-PBE) results for a geometry-optimized PmPb2F8 structure.

Unit cell a=7.586 b=7.586 c=5.732 alpha=108.92 beta=108.92 gamma=30.64
Element x y z (fractional)
Pm  0.000  0.000  0.000
Pb  0.323  0.323  0.322
Pb  0.677  0.677  0.678
F  0.094  0.094  0.425
F  0.159  0.159  0.957
F  0.284  0.284  0.690
F  0.472  0.472  0.190
F  0.528  0.528  0.810
F  0.716  0.716  0.310
F  0.841  0.841  0.043
F  0.906  0.906  0.575

## Properties
- formation energy from raw total energies (eV/atom) = -2.83
- ΔE to the lowest computed polymorph (meV/atom) = 0
- D(E_F) (states/eV/cell) = 8.45


[2]
DFT (GGA-PBE) results for a geometry-optimized FeGe2Au structure.

Unit cell a=4.455 b=4.455 c=4.455 alpha=60.00 beta=60.00 gamma=60.00
Element x y z (fractional)
Fe  0.000  0.000  0.000
Ge  0.250  0.250  0.250
Ge  0.750  0.750  0.750
Au  0.500  0.500  0.500

## Properties
- energy of formation from the pure elements (eV/atom) = 0.3299
- ΔE to the lowest computed polymorph (meV/atom) = 143
- D(E_F) (states/eV/cell) = 2.14


[3]
DFT (GGA-PBE) results for a geometry-optimized Ba2ZrO4 structure.

Unit cell a=7.439 b=7.439 c=7.439 alpha=146.81 beta=146.81 gamma=47.64
Element x y z (fractional)
Ba  0.147  0.147  0.000
Ba  0.853  0.853  0.000
Zr  0.500  0.500  0.000
O  0.000  0.500  0.500
O  0.342  0.342  0.000
O  0.500  0.000  0.500
O  0.658  0.658  0.000

## Properties
- formation energy from raw total energies (eV/atom) = -3.03
- D(E_F) (states/eV/cell) = 0.00


[4]
DFT (GGA-PBE) results for a geometry-optimized PmHoMgGa structure.

Unit cell a=5.218 b=5.218 c=5.218 alpha=60.00 beta=60.00 gamma=60.00
Element x y z (fractional)
Pm  0.000  0.000  0.000
Ho  0.500  0.500  0.500
Mg  0.250  0.250  0.250
Ga  0.750  0.750  0.750

## Properties
- energy of formation from the pure elements (eV/atom) = -0.3380
- D(E_F) (states/eV/cell) = 2.28


[5]
DFT (GGA-PBE) results for a geometry-optimized Hf2GaO structure.

Unit cell a=6.879 b=6.879 c=6.879 alpha=34.72 beta=34.72 gamma=34.72
Element x y z (fractional)
Hf  0.100  0.100  0.100
Hf  0.900  0.900  0.900
Ga  0.500  0.500  0.500
O  0.000  0.000  0.000

## Properties
- formation energy from raw total energies (eV/atom) = -1.01
- ΔE to the lowest computed polymorph (meV/atom) = 0
- D(E_F) (states/eV/cell) = 2.69


[6]
DFT (GGA-PBE) results for a geometry-optimized KY3Zr structure.

Unit cell a=5.364 b=5.364 c=5.364 alpha=90.00 beta=90.00 gamma=90.00
Element x y z (fractional)
K  0.000  0.000  0.000
Y  0.000  0.000  0.500
Y  0.000  0.500  0.000
Y  0.500  0.000  0.000
Zr  0.500  0.500  0.500

## Properties
- energy of formation from the pure elements (eV/atom) = 1.3076
- ΔE to the lowest computed polymorph (meV/atom) = 702
- D(E_F) (states/eV/cell) = 7.92


[7]
DFT (GGA-PBE) results for a geometry-optimized TlOsBrO4 structure.

Unit cell a=7.594 b=7.594 c=8.044 alpha=104.52 beta=104.52 gamma=68.42
Element x y z (fractional)
Tl  0.178  0.178  0.058
Tl  0.822  0.822  0.942
Os  0.363  0.363  0.730
Os  0.637  0.637  0.270
Br  0.021  0.021  0.265
Br  0.979  0.979  0.735
O  0.151  0.476  0.812
O  0.314  0.314  0.505
O  0.476  0.151  0.812
O  0.492  0.492  0.200
O  0.508  0.508  0.800
O  0.524  0.849  0.188
O  0.686  0.686  0.495
O  0.849  0.524  0.188

## Properties
- formation energy from raw total energies (eV/atom) = -0.89


[8]
DFT (GGA-PBE) results for a geometry-optimized Mg3ZrRh4 structure.

Unit cell a=7.736 b=7.736 c=7.736 alpha=33.71 beta=33.71 gamma=33.71
Element x y z (fractional)
Mg  0.000  0.000  0.000
Mg  0.253  0.253  0.253
Mg  0.747  0.747  0.747
Zr  0.500  0.500  0.500
Rh  0.125  0.125  0.125
Rh  0.376  0.376  0.376
Rh  0.624  0.624  0.624
Rh  0.875  0.875  0.875

## Properties
- energy of formation from the pure elements (eV/atom) = -0.6764
- D(E_F) (states/eV/cell) = 3.78


[9]
DFT (GGA-PBE) results for a geometry-optimized Tb3Al3Ga8 structure.

Unit cell a=8.406 b=8.406 c=8.406 alpha=151.02 beta=108.11 gamma=79.30
Element x y z (fractional)
Tb  0.000  0.000  0.000
Tb  0.316  0.316  0.000
Tb  0.684  0.684  0.000
Al  0.286  0.500  0.786
Al  0.500  0.000  0.500
Al  0.714  0.500  0.214
Ga  0.037  0.664  0.372
Ga  0.140  0.862  0.279
Ga  0.292  0.664  0.628
Ga  0.417  0.138  0.279
Ga  0.583  0.862  0.721
Ga  0.708  0.336  0.372
Ga  0.860  0.138  0.721
Ga  0.963  0.336  0.628

## Properties
- energy of formation from the pure elements (eV/atom) = -0.4369
- D(E_F) (states/eV/cell) = 3.61


[10]
DFT (GGA-PBE) results for a geometry-optimized BSbS2 structure.

Unit cell a=4.612 b=4.612 c=4.612 alpha=60.00 beta=60.00 gamma=60.00
Element x y z (fractional)
B  0.000  0.000  0.000
Sb  0.500  0.500  0.500
S  0.250  0.250  0.250
S  0.750  0.750  0.750

## Properties
- formation energy from raw total energies (eV/atom) = 1.06
- ΔE to the lowest computed polymorph (meV/atom) = 819
- D(E_F) (states/eV/cell) = 2.75


[11]
DFT (GGA-PBE) results for a geometry-optimized NaHfRh2F structure.

Unit cell a=4.685 b=4.685 c=7.608 alpha=90.00 beta=90.00 gamma=90.00
Element x y z (fractional)
Na  0.000  0.000  0.000
Hf  0.000  0.000  0.500
Rh  0.000  0.500  0.500
Rh  0.500  0.000  0.500
F  0.500  0.500  0.000

## Properties
- formation energy from raw total energies (eV/atom) = 0.38
- D(E_F) (states/eV/cell) = 0.16


[12]
DFT (GGA-PBE) results for a geometry-optimized PuTlHgBi structure.

Unit cell a=5.504 b=5.504 c=5.504 alpha=60.00 beta=60.00 gamma=60.00
Element x y z (fractional)
Pu  0.000  0.000  0.000
Tl  0.500  0.500  0.500
Hg  0.750  0.750  0.750
Bi  0.250  0.250  0.250

## Properties
- energy of formation from the pure elements (eV/atom) = -0.0961
- ΔE to the lowest computed polymorph (meV/atom) = 112
- D(E_F) (states/eV/cell) = 15.05


[13]
DFT (GGA-PBE) results for a geometry-optimized DyEr2Tm2Sc2 structure.

Unit cell a=8.703 b=8.703 c=8.090 alpha=116.78 beta=116.78 gamma=22.43
Element x y z (fractional)
Dy  0.000  0.000  0.000
Er  0.349  0.349  0.104
Er  0.651  0.651  0.896
Tm  0.425  0.425  0.585
Tm  0.575  0.575  0.415
Sc  0.211  0.211  0.302
Sc  0.789  0.789  0.698

## Properties
- energy of formation from the pure elements (eV/atom) = 0.1565
- D(E_F) (states/eV/cell) = 11.76


[14]
DFT (GGA-PBE) results for a geometry-optimized K2ZnRh structure.

Unit cell a=4.315 b=4.315 c=9.263 alpha=102.82 beta=102.82 gamma=59.87
Element x y z (fractional)
K  0.000  0.000  0.000
K  0.163  0.163  0.514
Zn  0.748  0.748  0.257
Rh  0.415  0.415  0.257

## Properties
- energy of formation from the pure elements (eV/atom) = 0.1218
- D(E_F) (states/eV/cell) = 3.04


[15]
DFT (GGA-PBE) results for a geometry-optimized Be2CuSe structure.

Unit cell a=3.210 b=3.210 c=5.065 alpha=90.00 beta=90.00 gamma=90.00
Element x y z (fractional)
Be  0.000  0.000  0.000
Be  0.500  0.500  0.280
Cu  0.000  0.000  0.431
Se  0.500  0.500  0.830

## Properties
- formation energy from raw total energies (eV/atom) = 0.22
- D(E_F) (states/eV/cell) = 0.97


[16]
DFT (GGA-PBE) results for a geometry-optimized Dy2Al2SiRh5 structure.

Unit cell a=9.880 b=9.880 c=3.355 alpha=90.00 beta=90.00 gamma=90.00
Element x y z (fractional)
Dy  0.173  0.327  0.000
Dy  0.327  0.827  0.000
Dy  0.673  0.173  0.000
Dy  0.827  0.673  0.000
Al  0.127  0.627  0.000
Al  0.373  0.127  0.000
Al  0.627  0.873  0.000
Al  0.873  0.373  0.000
Si  0.000  0.000  0.000
Si  0.500  0.500  0.000
Rh  0.000  0.500  0.500
Rh  0.063  0.803  0.500
Rh  0.197  0.063  0.500
Rh  0.303  0.563  0.500
Rh  0.437  0.303  0.500
Rh  0.500  0.000  0.500
Rh  0.563  0.697  0.500
Rh  0.697  0.437  0.500
Rh  0.803  0.937  0.500
Rh  0.937  0.197  0.500

## Properties
- formation energy from raw total energies (eV/atom) = -0.86
- D(E_F) (states/eV/cell) = 4.79


[17]
DFT (GGA-PBE) results for a geometry-optimized TlHg2GeF structure.

Unit cell a=5.496 b=5.496 c=4.219 alpha=90.00 beta=90.00 gamma=90.00
Element x y z (fractional)
Tl  0.000  0.000  0.000
Hg  0.000  0.500  0.500
Hg  0.500  0.000  0.500
Ge  0.500  0.500  0.500
F  0.500  0.500  0.000

## Properties
- formation energy from raw total energies (eV/atom) = -0.48
- D(E_F) (states/eV/cell) = 1.66


[18]
DFT (GGA-PBE) results for a geometry-optimized LuBe4Tc structure.

Unit cell a=4.651 b=4.651 c=4.651 alpha=60.00 beta=60.00 gamma=60.00
Element x y z (fractional)
Lu  0.000  0.000  0.000
Be  0.134  0.622  0.622
Be  0.622  0.134  0.622
Be  0.622  0.622  0.134
Be  0.622  0.622  0.622
Tc  0.250  0.250  0.250

## Properties
- energy of formation from the pure elements (eV/atom) = -0.1172
- D(E_F) (states/eV/cell) = 4.96


[19]
DFT (GGA-PBE) results for a geometry-optimized BiSbI2F structure.

Unit cell a=6.066 b=6.066 c=6.145 alpha=90.00 beta=90.00 gamma=90.00
Element x y z (fractional)
Bi  0.000  0.000  0.000
Sb  0.000  0.000  0.500
I  0.000  0.500  0.000
I  0.500  0.000  0.000
F  0.500  0.500  0.500

## Properties
- formation energy from raw total energies (eV/atom) = 0.18
- ΔE to the lowest computed polymorph (meV/atom) = 350
- D(E_F) (states/eV/cell) = 10.35


[20]
DFT (GGA-PBE) results for a geometry-optimized TeMo2As structure.

Unit cell a=3.107 b=3.107 c=8.304 alpha=90.00 beta=90.00 gamma=114.14
Element x y z (fractional)
Te  0.000  0.000  0.000
Mo  0.500  0.500  0.277
Mo  0.500  0.500  0.723
As  0.000  0.000  0.500

## Properties
- formation energy from raw total energies (eV/atom) = 0.58
- ΔE to the lowest computed polymorph (meV/atom) = 526
- D(E_F) (states/eV/cell) = 4.12


[21]
DFT (GGA-PBE) results for a geometry-optimized Ta2SiIr2 structure.

Unit cell a=7.643 b=7.643 c=2.903 alpha=90.00 beta=90.00 gamma=90.00
Element x y z (fractional)
Ta  0.163  0.337  0.000
Ta  0.337  0.837  0.000
Ta  0.663  0.163  0.000
Ta  0.837  0.663  0.000
Si  0.000  0.000  0.500
Si  0.500  0.500  0.500
Ir  0.132  0.632  0.500
Ir  0.368  0.132  0.500
Ir  0.632  0.868  0.500
Ir  0.868  0.368  0.500

## Properties
- formation energy from raw total energies (eV/atom) = -0.29
- D(E_F) (states/eV/cell) = 4.43


[22]
DFT (GGA-PBE) results for a geometry-optimized AlAg3Au4 structure.

Unit cell a=12.185 b=12.185 c=2.941 alpha=96.78 beta=96.78 gamma=20.16
Element x y z (fractional)
Al  0.000  0.000  0.000
Ag  0.280  0.280  0.780
Ag  0.500  0.500  0.500
Ag  0.720  0.720  0.220
Au  0.158  0.158  0.656
Au  0.399  0.399  0.902
Au  0.601  0.601  0.098
Au  0.842  0.842  0.344

## Properties
- energy of formation from the pure elements (eV/atom) = 0.0215
- ΔE to the lowest computed polymorph (meV/atom) = 151
- D(E_F) (states/eV/cell) = 1.68


[23]
DFT (GGA-PBE) results for a geometry-optimized CaSnAs2Se structure.

Unit cell a=5.223 b=5.223 c=5.399 alpha=90.00 beta=90.00 gamma=90.00
Element x y z (fractional)
Ca  0.000  0.000  0.000
Sn  0.500  0.500  0.500
As  0.000  0.500  0.500
As  0.500  0.000  0.500
Se  0.500  0.500  0.000

## Properties
- formation energy from raw total energies (eV/atom) = 0.04
- ΔE to the lowest computed polymorph (meV/atom) = 0
- D(E_F) (states/eV/cell) = 5.22


[24]
DFT (GGA-PBE) results for a geometry-optimized Pr2Zn3Ni2 structure.

Unit cell a=5.405 b=5.405 c=6.397 alpha=105.88 beta=105.88 gamma=48.39
Element x y z (fractional)
Pr  0.117  0.117  0.350
Pr  0.883  0.883  0.650
Zn  0.216  0.216  0.884
Zn  0.500  0.500  0.000
Zn  0.784  0.784  0.116
Ni  0.404  0.404  0.313
Ni  0.596  0.596  0.687

## Properties
- energy of formation from the pure elements (eV/atom) = -0.2993
- ΔE to the lowest computed polymorph (meV/atom) = 63
- D(E_F) (states/eV/cell) = 6.14


[25]
DFT (GGA-PBE) results for a geometry-optimized InPbSe3 structure.

Unit cell a=7.852 b=3.995 c=8.997 alpha=90.00 beta=93.35 gamma=90.00
Element x y z (fractional)
In  0.162  0.250  0.124
In  0.838  0.750  0.876
Pb  0.354  0.750  0.653
Pb  0.646  0.250  0.347
Se  0.066  0.250  0.825
Se  0.290  0.250  0.426
Se  0.423  0.750  0.097
Se  0.577  0.250  0.903
Se  0.710  0.750  0.574
Se  0.934  0.750  0.175

## Properties
- formation energy from raw total energies (eV/atom) = -0.35
- ΔE to the lowest computed polymorph (meV/atom) = 0
- D(E_F) (states/eV/cell) = 4.08


Number 1: total moment 0.00 μB/f.u., theoretical density 7.5 g/cm3. Number 2: total moment 2.52 μB/f.u., theoretical density 10.6 g/cm3. Number 3: total moment 0.00 μB/f.u., theoretical density 5.8 g/cm3. Number 4: total moment 0.00 μB/f.u., theoretical density 6.7 g/cm3. Number 5: total moment 0.00 μB/f.u., theoretical density 7.8 g/cm3. Number 6: total moment 1.32 μB/f.u., theoretical density 4.3 g/cm3. Number 7: total moment 0.00 μB/f.u., theoretical density 4.4 g/cm3. Number 8: total moment 0.00 μB/f.u., theoretical density 7.5 g/cm3. Number 9: total moment 0.00 μB/f.u., theoretical density 6.9 g/cm3. Number 10: total moment 0.00 μB/f.u., theoretical density 4.7 g/cm3. Number 11: total moment 0.00 μB/f.u., theoretical density 4.2 g/cm3. Number 12: total moment 5.92 μB/f.u., theoretical density 12.1 g/cm3. Number 13: total moment 0.00 μB/f.u., theoretical density 7.4 g/cm3. Number 14: total moment 0.00 μB/f.u., theoretical density 2.8 g/cm3. Number 15: total moment 0.00 μB/f.u., theoretical density 5.1 g/cm3. Number 16: total moment 0.00 μB/f.u., theoretical density 9.3 g/cm3. Number 17: total moment 0.00 μB/f.u., theoretical density 9.1 g/cm3. Number 18: total moment 1.27 μB/f.u., theoretical density 7.2 g/cm3. Number 19: total moment 1.17 μB/f.u., theoretical density 4.4 g/cm3. Number 20: total moment 0.00 μB/f.u., theoretical density 9.0 g/cm3. Number 21: total moment 0.00 μB/f.u., theoretical density 15.2 g/cm3. Number 22: total moment 0.00 μB/f.u., theoretical density 12.7 g/cm3. Number 23: total moment 0.00 μB/f.u., theoretical density 4.4 g/cm3. Number 24: total moment 0.00 μB/f.u., theoretical density 7.4 g/cm3. Number 25: total moment 0.00 μB/f.u., theoretical density 6.6 g/cm3.